5
Lattice="4.568 0.000 0.000 0.000 5.789 0.000 0.000 0.000 4.568" Properties=species:S:1:pos:R:3 comment="BaBeCdSi2 | Alexandria via LeMat-Bulk | PBE-GGA | relaxed" total_energy_ev_per_atom=-3.0662 spacegroup="No. 123" magnetic_moment_mub_per_fu=0.0 pbc="T T T"
Si 2.284 0.000 0.000
Si 0.000 0.000 2.284
Cd 2.284 2.894 2.284
Be 0.000 0.000 0.000
Ba 0.000 2.894 0.000